[1]
A geometry-optimized Mg2Ti2Tl structure, computed with PBE-GGA.

The structure in POSCAR format:
```
Mg2Ti2Tl
1.0
7.782 0.000 0.000
0.000 7.782 0.000
0.000 0.000 3.311
Tl Mg Ti
2 4 4
direct
0.000 0.000 0.000
0.500 0.500 0.000
0.375 0.875 0.000
0.875 0.625 0.000
0.625 0.125 0.000
0.125 0.375 0.000
0.173 0.673 0.500
0.673 0.827 0.500
0.827 0.327 0.500
0.327 0.173 0.500
```

Summary:
**Space-group type**: P4/mbm (127)
**V**: 20.06 A^3/atom
**Distance to the lowest polymorph of the same formula**: 25.8 meV per atom
**DFT total energy**: -39.17 eV for the cell shown
**ΔE_f**: 352.5 meV per atom

---

[2]
A geometry-optimized MgTiTl3 structure, computed with PBE-GGA.

The structure in POSCAR format:
```
MgTiTl3
1.0
-4.585 -0.640 -2.598
2.659 -1.675 -4.279
-0.304 -4.997 1.767
Tl Mg Ti
3 1 1
direct
0.000 0.500 0.000
0.000 0.000 0.500
0.500 0.000 0.000
0.000 0.000 0.000
0.500 0.500 0.500
```

Summary:
**Space-group type**: Pm-3m (221)
**V**: 29.93 A^3/atom
**Distance to the lowest polymorph of the same formula**: 365.6 meV per atom
**DFT total energy**: -12.33 eV for the cell shown
**ΔE_f**: 852.5 meV per atom

---

[3]
A geometry-optimized MgTi2Tl2 structure, computed with PBE-GGA.

The structure in POSCAR format:
```
MgTi2Tl2
1.0
8.208 0.000 0.000
0.000 8.208 0.000
0.000 0.000 3.252
Tl Mg Ti
4 2 4
direct
0.187 0.687 0.500
0.687 0.813 0.500
0.813 0.313 0.500
0.313 0.187 0.500
0.000 0.000 0.000
0.500 0.500 0.000
0.388 0.888 0.000
0.888 0.612 0.000
0.612 0.112 0.000
0.112 0.388 0.000
```

Summary:
**Space-group type**: P4/mbm (127)
**V**: 21.91 A^3/atom
**Distance to the lowest polymorph of the same formula**: 0.0 meV per atom
**DFT total energy**: -42.18 eV for the cell shown
**ΔE_f**: 205.9 meV per atom

---

[4]
A geometry-optimized MgTiTl2 structure, computed with PBE-GGA.

The structure in POSCAR format:
```
MgTiTl2
1.0
-1.299 -0.867 -3.043
-0.330 -3.235 1.062
-6.887 1.526 2.505
Tl Mg Ti
2 1 1
direct
0.000 0.000 0.743
0.000 0.000 0.257
0.500 0.500 0.000
0.500 0.500 0.500
```

Summary:
**Space-group type**: P4/mmm (123)
**V**: 21.90 A^3/atom
**DFT total energy**: -13.64 eV for the cell shown
**ΔE_f**: 145.1 meV per atom

---

[5]
A geometry-optimized MgTi2TlV structure, computed with PBE-GGA.

The structure in POSCAR format:
```
MgTi2TlV
1.0
4.822 0.000 0.000
0.000 4.659 0.000
0.000 0.000 4.822
Tl Ti Mg V
1 2 1 1
direct
0.500 0.500 0.500
0.000 0.000 0.500
0.500 0.000 0.000
0.000 0.000 0.000
0.000 0.500 0.000
```

Summary:
**Space-group type**: P4/mmm (123)
**V**: 21.67 A^3/atom
**DFT total energy**: -22.77 eV for the cell shown
**ΔE_f**: 1220.0 meV per atom

---

[6]
A geometry-optimized MgTi2TlZn structure, computed with PBE-GGA.

The structure in POSCAR format:
```
MgTi2TlZn
1.0
4.804 0.000 0.000
0.000 4.969 0.000
0.000 0.000 4.804
Mg Tl Zn Ti
1 1 1 2
direct
0.500 0.500 0.500
0.000 0.500 0.000
0.000 0.000 0.000
0.000 0.000 0.500
0.500 0.000 0.000
```

Summary:
**Space-group type**: P4/mmm (123)
**V**: 22.93 A^3/atom
**DFT total energy**: -17.53 eV for the cell shown
**ΔE_f**: 698.0 meV per atom

---

[7]
A geometry-optimized Mg2Zr3TiTl3 structure, computed with PBE-GGA.

The structure in POSCAR format:
```
Mg2Zr3TiTl3
1.0
3.313 0.000 0.000
0.000 8.367 0.000
0.000 -4.183 7.246
Mg Zr Ti Tl
2 3 1 3
direct
0.500 0.667 0.333
0.500 0.333 0.667
0.500 0.723 0.000
0.500 0.000 0.723
0.500 0.277 0.277
0.000 0.000 0.000
0.000 0.629 0.629
0.000 0.000 0.371
0.000 0.371 0.000
```

Summary:
**Space-group type**: P-62m (189)
**V**: 22.32 A^3/atom
**DFT total energy**: -43.27 eV for the cell shown
**ΔE_f**: 62.1 meV per atom

---

[8]
A geometry-optimized Tm2MgTi structure, computed with PBE-GGA.

The structure in POSCAR format:
```
Tm2MgTi
1.0
3.532 0.000 0.000
0.000 5.337 0.000
0.000 0.000 5.337
Mg Tm Ti
1 2 1
direct
0.500 0.500 0.500
0.000 0.000 0.500
0.000 0.500 0.000
0.500 0.000 0.000
```

Summary:
**Space-group type**: P4/mmm (123)
**V**: 25.15 A^3/atom
**Distance to the lowest polymorph of the same formula**: 96.2 meV per atom
**DFT total energy**: -17.84 eV for the cell shown
**ΔE_f**: 147.3 meV per atom

---

[9]
A geometry-optimized Tm2MgTi structure, computed with PBE-GGA.

The structure in POSCAR format:
```
Tm2MgTi
1.0
3.361 0.000 0.000
0.000 3.361 0.000
0.000 0.000 8.832
Mg Tm Ti
1 2 1
direct
0.500 0.500 0.500
0.000 0.000 0.770
0.000 0.000 0.230
0.500 0.500 0.000
```

Summary:
**Space-group type**: P4/mmm (123)
**V**: 24.94 A^3/atom
**Distance to the lowest polymorph of the same formula**: 0.0 meV per atom
**DFT total energy**: -18.23 eV for the cell shown
**ΔE_f**: 51.1 meV per atom

---

[10]
A geometry-optimized Tm2MgTi structure, computed with PBE-GGA.

The structure in POSCAR format:
```
Tm2MgTi
1.0
5.200 0.000 0.000
2.600 4.503 0.000
2.600 1.501 4.246
Mg Tm Ti
1 2 1
direct
0.000 0.000 0.000
0.250 0.250 0.250
0.750 0.750 0.750
0.500 0.500 0.500
```

Summary:
**Space-group type**: Fm-3m (225)
**V**: 24.86 A^3/atom
**Distance to the lowest polymorph of the same formula**: 97.4 meV per atom
**DFT total energy**: -17.84 eV for the cell shown
**ΔE_f**: 148.5 meV per atom

---

[11]
A geometry-optimized TmMg4Ti structure, computed with PBE-GGA.

The structure in POSCAR format:
```
TmMg4Ti
1.0
-0.432 -2.243 -5.340
4.798 -1.131 -3.072
1.593 -5.499 -0.978
Mg Tm Ti
4 1 1
direct
0.626 0.626 0.123
0.626 0.123 0.626
0.626 0.626 0.626
0.123 0.626 0.626
0.250 0.250 0.250
0.000 0.000 0.000
```

Summary:
**Space-group type**: F-43m (216)
**V**: 23.09 A^3/atom
**DFT total energy**: -17.93 eV for the cell shown
**ΔE_f**: 135.5 meV per atom

---

[12]
A geometry-optimized Tm2MgTi structure, computed with PBE-GGA.

The structure in POSCAR format:
```
Tm2MgTi
1.0
3.298 0.000 0.000
1.649 2.856 0.000
1.649 0.952 10.668
Mg Tm Ti
1 2 1
direct
0.500 0.500 0.500
0.744 0.744 0.769
0.256 0.256 0.231
0.000 0.000 0.000
```

Summary:
**Space-group type**: R-3m (166)
**V**: 25.12 A^3/atom
**Distance to the lowest polymorph of the same formula**: 83.1 meV per atom
**DFT total energy**: -17.90 eV for the cell shown
**ΔE_f**: 134.2 meV per atom

---

[13]
A geometry-optimized TmMgZrTi structure, computed with PBE-GGA.

The structure in POSCAR format:
```
TmMgZrTi
1.0
-2.438 2.855 3.387
-5.011 -0.421 0.522
-1.940 -2.117 4.162
Mg Tm Zr Ti
1 1 1 1
direct
0.750 0.750 0.750
0.000 0.000 0.000
0.500 0.500 0.500
0.250 0.250 0.250
```

Summary:
**Space-group type**: F-43m (216)
**V**: 22.85 A^3/atom
**DFT total energy**: -21.92 eV for the cell shown
**ΔE_f**: 146.7 meV per atom

---

[14]
A geometry-optimized MgTi2V structure, computed with PBE-GGA.

The structure in POSCAR format:
```
MgTi2V
1.0
2.962 0.000 0.000
0.000 4.774 0.000
0.000 0.000 4.774
Mg Ti V
1 2 1
direct
0.500 0.000 0.000
0.000 0.000 0.500
0.000 0.500 0.000
0.500 0.500 0.500
```

Summary:
**Space-group type**: P4/mmm (123)
**V**: 16.88 A^3/atom
**DFT total energy**: -25.45 eV for the cell shown
**ΔE_f**: 262.5 meV per atom

---

[15]
A geometry-optimized Mg6TiV structure, computed with PBE-GGA.

The structure in POSCAR format:
```
Mg6TiV
1.0
-5.617 -1.557 -2.307
5.359 -1.238 -3.008
0.277 -4.428 2.315
Mg Ti V
6 1 1
direct
0.828 0.673 0.000
0.327 0.172 0.000
0.666 0.834 0.500
0.166 0.334 0.500
0.680 0.320 0.500
0.176 0.824 0.500
0.327 0.673 0.000
0.830 0.170 0.000
```

Summary:
**Space-group type**: Amm2 (38)
**V**: 20.68 A^3/atom
**Distance to the lowest polymorph of the same formula**: 32.4 meV per atom
**DFT total energy**: -24.77 eV for the cell shown
**ΔE_f**: 226.6 meV per atom

---

[16]
A geometry-optimized MgTi2V structure, computed with PBE-GGA.

The structure in POSCAR format:
```
MgTi2V
1.0
3.839 0.000 0.000
0.000 3.839 0.000
1.919 1.919 9.619
Mg V Ti
2 2 4
direct
0.500 0.500 0.000
0.250 0.750 0.500
0.000 0.000 0.000
0.750 0.250 0.500
0.641 0.125 0.250
0.109 0.625 0.250
0.375 0.359 0.750
0.875 0.891 0.750
```

Summary:
**Space-group type**: I-42d (122)
**V**: 17.72 A^3/atom
**DFT total energy**: -47.82 eV for the cell shown
**ΔE_f**: 648.4 meV per atom

---

[17]
A geometry-optimized MgTi3V structure, computed with PBE-GGA.

The structure in POSCAR format:
```
MgTi3V
1.0
4.625 0.000 0.000
0.000 4.625 0.000
0.000 0.000 4.625
Mg V Ti
1 1 3
direct
0.500 0.500 0.500
0.000 0.000 0.000
0.000 0.500 0.000
0.000 0.000 0.500
0.500 0.000 0.000
```

Summary:
**Space-group type**: Pm-3m (221)
**V**: 19.79 A^3/atom
**Distance to the lowest polymorph of the same formula**: 0.0 meV per atom
**DFT total energy**: -31.34 eV for the cell shown
**ΔE_f**: 611.2 meV per atom

---

[18]
A geometry-optimized MgTi2V structure, computed with PBE-GGA.

The structure in POSCAR format:
```
MgTi2V
1.0
-0.942 1.629 2.494
2.165 -1.422 1.747
4.718 5.200 -1.615
Mg Ti V
1 2 1
direct
0.500 0.500 0.500
0.000 0.000 0.797
0.000 0.000 0.203
0.500 0.500 0.000
```

Summary:
**Space-group type**: P4/mmm (123)
**V**: 17.58 A^3/atom
**DFT total energy**: -26.15 eV for the cell shown
**ΔE_f**: 88.5 meV per atom

---

[19]
A geometry-optimized MgTiV structure, computed with PBE-GGA.

The structure in POSCAR format:
```
MgTiV
1.0
-2.195 1.594 1.258
0.485 -1.387 2.604
9.129 8.773 1.255
V Ti Mg
2 2 2
direct
0.278 0.278 0.556
0.722 0.722 0.444
0.156 0.156 0.313
0.844 0.844 0.687
0.562 0.562 0.125
0.438 0.438 0.875
```

Summary:
**Space-group type**: I4/mmm (139)
**V**: 18.70 A^3/atom
**Distance to the lowest polymorph of the same formula**: 0.0 meV per atom
**DFT total energy**: -36.53 eV for the cell shown
**ΔE_f**: 114.0 meV per atom

---

[20]
A geometry-optimized Mg3TiV structure, computed with PBE-GGA.

The structure in POSCAR format:
```
Mg3TiV
1.0
5.017 0.000 0.000
0.000 5.017 0.000
0.000 0.000 5.017
Mg V Ti
3 1 1
direct
0.000 0.500 0.000
0.000 0.000 0.500
0.500 0.000 0.000
0.000 0.000 0.000
0.500 0.500 0.500
```

Summary:
**Space-group type**: Pm-3m (221)
**V**: 25.26 A^3/atom
**DFT total energy**: -16.44 eV for the cell shown
**ΔE_f**: 1071.2 meV per atom